Computed, not measured: crystalline MnSnF6 at its relaxed geometry at the PBE with a Hubbard U level of DFT.

Results
**VASP energy**: -5.414 eV per atom
**Space-group type**: No. 149

Structure (CIF):
```
data_MnSnF6
_space_group_name_H-M_alt 'P 1'
_space_group_IT_number 1
_space_group_name_Hall 'P 1'
_cell_length_a 5.194
_cell_length_b 5.194
_cell_length_c 4.951
_cell_angle_alpha 90.00
_cell_angle_beta 90.00
_cell_angle_gamma 120.00
loop_
_atom_site_label
_atom_site_type_symbol
_atom_site_fract_x
_atom_site_fract_y
_atom_site_fract_z
_atom_site_occupancy
Mn1 Mn 0.000 0.000 0.000 1
Sn1 Sn 0.667 0.333 0.500 1
F1 F 0.345 0.031 0.739 1
F2 F 0.345 0.314 0.261 1
F3 F 0.686 0.031 0.261 1
F4 F 0.686 0.655 0.739 1
F5 F 0.969 0.314 0.739 1
F6 F 0.969 0.655 0.261 1
```